This record from Alexandria via LeMat-Bulk describes an optimized crystal structure of Sr2OsPt. The functional is PBEsol.

The structure belongs to space group P4/mmm (No. 123); the cell edges are 4.866, 4.866 and 3.818 Å and the angles 90.00°, 90.00° and 90.00°. The distinct sites, in fractional coordinates, are Sr at (0.000, 0.500, 0.000), Os at (0.000, 0.000, 0.500) and Pt at (0.500, 0.500, 0.500).

The calculation puts the uncorrected energy at -21.084 eV/cell. As for the magnetization: 0.083 μB per atom.